# 1
This record from Alexandria describes a crystal of Ca5In2P6 relaxed with PBEsol. The functional is meta-GGA SCAN.

a b c (Å): 11.079 12.894 4.121
angles (deg): 90.00 90.00 90.00
Fractional coordinates of all 26 atoms:
Ca: 0.000 0.000 0.000
Ca: 0.088 0.253 0.000
Ca: 0.180 0.513 0.000
Ca: 0.320 0.013 0.000
Ca: 0.412 0.753 0.000
Ca: 0.500 0.500 0.000
Ca: 0.588 0.247 0.000
Ca: 0.680 0.987 0.000
Ca: 0.820 0.487 0.000
Ca: 0.912 0.747 0.000
In: 0.167 0.716 0.500
In: 0.333 0.216 0.500
In: 0.667 0.784 0.500
In: 0.833 0.284 0.500
P: 0.026 0.415 0.500
P: 0.150 0.098 0.500
P: 0.162 0.828 0.000
P: 0.338 0.328 0.000
P: 0.350 0.598 0.500
P: 0.474 0.915 0.500
P: 0.526 0.085 0.500
P: 0.650 0.402 0.500
P: 0.662 0.672 0.000
P: 0.838 0.172 0.000
P: 0.850 0.902 0.500
P: 0.974 0.585 0.500

The value obtained for the magnetic moment is 0.0 μB/f.u. Its space group is No. 55. For the formation energy, the calculation gives -1043 meV per atom.

***

# 2
This record from Alexandria describes a crystal of ScCdCl2 relaxed with PBEsol. The functional is meta-GGA SCAN.

a b c (Å): 4.440 4.440 4.134
angles (deg): 90.00 90.00 90.00
Fractional coordinates of all 4 atoms:
Sc: 0.000 0.000 0.000
Cd: 0.500 0.500 0.000
Cl: 0.000 0.500 0.500
Cl: 0.500 0.000 0.500

The value obtained for the magnetic moment is 0.9 μB/f.u. Its space group is No. 123. The value obtained for the formation energy from raw total energies is -0.772 eV per atom.

***

# 3
This record from Alexandria describes a crystal of SrGe3Sb relaxed with PBEsol. The functional is meta-GGA SCAN.

a b c (Å): 5.419 5.419 5.419
angles (deg): 90.00 90.00 90.00
Fractional coordinates of all 5 atoms:
Sr: 0.000 0.000 0.000
Ge: 0.000 0.000 0.500
Ge: 0.000 0.500 0.000
Ge: 0.500 0.000 0.000
Sb: 0.500 0.500 0.500

The value obtained for the magnetic moment is 0.0 μB/f.u. Its space group is No. 221. The value obtained for the formation energy from raw total energies is 1.373 eV per atom.

***

# 4
This record from Alexandria describes a crystal of Pr3Ga2Ni2 relaxed with PBEsol. The functional is meta-GGA SCAN.

a b c (Å): 5.645 8.073 12.859
angles (deg): 90.00 90.00 90.00
Fractional coordinates of all 28 atoms:
Pr: 0.148 0.107 0.098
Pr: 0.148 0.107 0.402
Pr: 0.148 0.393 0.598
Pr: 0.148 0.393 0.902
Pr: 0.347 0.745 0.750
Pr: 0.347 0.755 0.250
Pr: 0.653 0.245 0.750
Pr: 0.653 0.255 0.250
Pr: 0.852 0.607 0.098
Pr: 0.852 0.607 0.402
Pr: 0.852 0.893 0.598
Pr: 0.852 0.893 0.902
Ga: 0.167 0.099 0.750
Ga: 0.167 0.401 0.250
Ga: 0.357 0.750 0.000
Ga: 0.357 0.750 0.500
Ga: 0.643 0.250 0.000
Ga: 0.643 0.250 0.500
Ga: 0.833 0.599 0.750
Ga: 0.833 0.901 0.250
Ni: 0.388 0.031 0.588
Ni: 0.388 0.031 0.912
Ni: 0.388 0.469 0.088
Ni: 0.388 0.469 0.412
Ni: 0.612 0.531 0.588
Ni: 0.612 0.531 0.912
Ni: 0.612 0.969 0.088
Ni: 0.612 0.969 0.412

The value obtained for the magnetic moment is 0.0 μB/f.u. Its space group is No. 57. For the formation energy, the calculation gives -541 meV per atom.

***

# 5
This record from Alexandria describes a crystal of Sr2CdRh relaxed with PBEsol. The functional is meta-GGA SCAN.

a b c (Å): 4.291 4.291 8.609
angles (deg): 98.21 98.21 48.36
Fractional coordinates of all 4 atoms:
Sr: 0.240 0.240 0.202
Sr: 0.760 0.760 0.798
Cd: 0.000 0.000 0.500
Rh: 0.500 0.500 0.000

The value obtained for the magnetic moment is 0.0 μB/f.u. Its space group is No. 12. For the formation energy, the calculation gives -56 meV per atom.

***

# 6
This record from Alexandria describes a crystal of LaSb2Au relaxed with PBEsol. The functional is meta-GGA SCAN.

a b c (Å): 5.748 5.748 5.748
angles (deg): 50.97 50.97 50.97
Fractional coordinates of all 4 atoms:
La: 0.000 0.000 0.000
Sb: 0.513 0.513 0.513
Sb: 0.785 0.785 0.785
Au: 0.243 0.243 0.243

The value obtained for the magnetic moment is 0.0 μB/f.u. Its space group is No. 160. The value obtained for the formation energy from raw total energies is -0.634 eV per atom.

***

# 7
This record from Alexandria describes a crystal of YBr relaxed with PBEsol. The functional is meta-GGA SCAN.

a b c (Å): 3.561 3.561 4.342
angles (deg): 90.00 90.00 120.00
Fractional coordinates of all 2 atoms:
Y: 0.000 0.000 0.000
Br: 0.667 0.333 0.500

The value obtained for the magnetic moment is 0.0 μB/f.u. Its space group is No. 187. The value obtained for the formation energy from raw total energies is -1.230 eV per atom.

***

# 8
This record from Alexandria describes a crystal of Zr2SbCl relaxed with PBEsol. The functional is meta-GGA SCAN.

a b c (Å): 8.991 8.991 8.991
angles (deg): 20.83 20.83 20.83
Fractional coordinates of all 4 atoms:
Zr: 0.245 0.245 0.245
Zr: 0.755 0.755 0.755
Sb: 0.000 0.000 0.000
Cl: 0.500 0.500 0.500

The value obtained for the magnetic moment is 0.0 μB/f.u. Its space group is No. 166. The value obtained for the formation energy from raw total energies is -0.590 eV per atom.

***

# 9
This record from Alexandria describes a crystal of SmZnGe relaxed with PBEsol. The functional is meta-GGA SCAN.

a b c (Å): 4.156 4.156 8.176
angles (deg): 90.00 90.00 120.00
Fractional coordinates of all 6 atoms:
Sm: 0.000 0.000 0.000
Sm: 0.000 0.000 0.500
Zn: 0.333 0.667 0.250
Zn: 0.667 0.333 0.750
Ge: 0.333 0.667 0.750
Ge: 0.667 0.333 0.250

The value obtained for the magnetic moment is 0.0 μB/f.u. Its space group is No. 194. For the formation energy, the calculation gives -780 meV per atom.

***

# 10
This record from Alexandria describes a crystal of Rb2TlPdPt relaxed with PBEsol. The functional is meta-GGA SCAN.

a b c (Å): 6.143 6.143 4.880
angles (deg): 90.00 90.00 90.00
Fractional coordinates of all 5 atoms:
Rb: 0.000 0.500 0.000
Rb: 0.500 0.000 0.000
Tl: 0.000 0.000 0.500
Pd: 0.500 0.500 0.500
Pt: 0.500 0.500 0.000

The value obtained for the magnetic moment is 0.0 μB/f.u. Its space group is No. 123. For the formation energy, the calculation gives 357 meV per atom.

***

# 11
This record from Alexandria describes a crystal of Zn3Au relaxed with PBEsol. The functional is meta-GGA SCAN.

a b c (Å): 4.921 4.921 4.921
angles (deg): 90.00 90.00 90.00
Fractional coordinates of all 8 atoms:
Zn: 0.000 0.250 0.500
Zn: 0.000 0.750 0.500
Zn: 0.250 0.500 0.000
Zn: 0.500 0.000 0.250
Zn: 0.500 0.000 0.750
Zn: 0.750 0.500 0.000
Au: 0.000 0.000 0.000
Au: 0.500 0.500 0.500

The value obtained for the magnetic moment is 0.0 μB/f.u. Its space group is No. 223. For the formation energy, the calculation gives -160 meV per atom.

***

# 12
This record from Alexandria describes a crystal of TlAgMo2 relaxed with PBEsol. The functional is meta-GGA SCAN.

a b c (Å): 3.291 3.291 6.515
angles (deg): 90.00 90.00 90.00
Fractional coordinates of all 4 atoms:
Tl: 0.000 0.000 0.000
Ag: 0.500 0.500 0.261
Mo: 0.000 0.000 0.529
Mo: 0.500 0.500 0.703

The value obtained for the magnetic moment is 0.0 μB/f.u. Its space group is No. 99. For the formation energy, the calculation gives 471 meV per atom. For the excess energy over the best structure of this formula in the dataset, the calculation gives 0 meV/atom.

***

Please write out number 8 again, unchanged.
This record from Alexandria describes a crystal of Zr2SbCl relaxed with PBEsol. The functional is meta-GGA SCAN.

a b c (Å): 8.991 8.991 8.991
angles (deg): 20.83 20.83 20.83
Fractional coordinates of all 4 atoms:
Zr: 0.245 0.245 0.245
Zr: 0.755 0.755 0.755
Sb: 0.000 0.000 0.000
Cl: 0.500 0.500 0.500

The value obtained for the magnetic moment is 0.0 μB/f.u. Its space group is No. 166. The value obtained for the formation energy from raw total energies is -0.590 eV per atom.

***

Which value of magnetic moment does entry 3 give?
0.0 μB/f.u.